NpTcH4 | PBE | relaxed

crystal system = cubic
magnetization = 2.0 μB per formula unit
calculated volume = 211.1 Å³ per cell
electronic total energy = -131.5 eV/cell

abc: 5.954 5.954 5.954
angles: 90.00 90.00 90.00
Space group F-43m (No. 216)
Asymmetric unit:
1 Np 0.000 0.000 0.000 x4
2 Tc 0.250 0.250 0.250 x4
3 H 0.126 0.126 0.626 x16

Np2TcH8 | PBE | relaxed

crystal system = monoclinic
magnetization = 8.5 μB per formula unit
calculated volume = 188.1 Å³ per cell
electronic total energy = -128.1 eV/cell

abc: 14.501 3.263 4.147
angles: 90.00 106.58 90.00
Space group C2/m (No. 12)
Asymmetric unit:
1 Np 0.151 0.000 0.157 x4
2 Tc 0.000 0.500 0.500 x2
3 H 0.003 0.000 0.275 x4
4 H 0.063 0.500 0.924 x4
5 H 0.125 0.500 0.517 x4
6 H 0.234 0.000 0.736 x4

NpTcH5 | PBE | relaxed

crystal system = orthorhombic
magnetization = 2.7 μB per formula unit
calculated volume = 114.2 Å³ per cell
electronic total energy = -81.3 eV/cell

abc: 3.741 4.745 6.434
angles: 90.00 90.00 90.00
Space group Immm (No. 71)
Asymmetric unit:
1 Np 0.000 0.000 0.000 x2
2 Tc 0.000 0.000 0.500 x2
3 H 0.000 0.284 0.325 x8
4 H 0.000 0.500 0.000 x2

NpTcH3 | PBE | relaxed

crystal system = cubic
magnetization = 4.0 μB per formula unit
calculated volume = 49.4 Å³ per cell
electronic total energy = -33.7 eV/cell

abc: 3.669 3.669 3.669
angles: 90.00 90.00 90.00
Space group Pm-3m (No. 221)
Asymmetric unit:
1 Np 0.000 0.000 0.000 x1
2 Tc 0.500 0.500 0.500 x1
3 H 0.000 0.500 0.500 x3

NpTeH2 | PBE | relaxed

crystal system = trigonal
magnetization = 3.0 μB per formula unit
calculated volume = 173.9 Å³ per cell
electronic total energy = -73.0 eV/cell

abc: 3.7687 3.7687 14.1397
angles: 90.00 90.00 120.00
Space group R-3m (No. 166, hexagonal axes)
Asymmetric unit:
1 Np 0.0000 0.0000 0.0000 x3
2 Te 0.0000 0.0000 0.5000 x3
3 H 0.0000 0.0000 0.3027 x6

NpTe2H | PBE | relaxed

crystal system = monoclinic
magnetization = 2.9 μB per formula unit
calculated volume = 165.8 Å³ per cell
electronic total energy = -47.5 eV/cell

abc: 11.022 3.991 4.048
angles: 90.00 111.41 90.00
Space group C2/m (No. 12)
Asymmetric unit:
1 Np 0.000 0.000 0.000 x2
2 Te 0.156 0.500 0.656 x4
3 H 0.000 0.500 0.000 x2